CsBSe3: optimized geometry, GGA-PBEsol.

Values from the calculation:
Volume (A^3/atom): 28.3
Crystal system: monoclinic

Cell: 7.5154 12.6795 6.1623 Å, 90.00 105.78 90.00°
With the nearest neighbours (Å) after each atom.
Atoms (fractional coordinates):
Cs: 0.2411 0.0771 0.2925  10 Se 3.59-3.93, 1 B 3.94
Cs: 0.2411 0.4229 0.7925  10 Se 3.59-3.93, 1 B 3.94
Cs: 0.7589 0.5771 0.2075  10 Se 3.59-3.93, 1 B 3.94
Cs: 0.7589 0.9229 0.7075  10 Se 3.59-3.93, 1 B 3.94
B: 0.2053 0.7303 0.1695  4 Se 2.04-2.08
B: 0.2053 0.7697 0.6695  4 Se 2.04-2.08
B: 0.7947 0.2303 0.3305  4 Se 2.04-2.08
B: 0.7947 0.2697 0.8305  4 Se 2.04-2.08
Se: 0.0485 0.6942 0.8516  2 B 2.04-2.07
Se: 0.0485 0.8058 0.3516  2 B 2.04-2.07
Se: 0.2998 0.5921 0.3284  1 B 2.04
Se: 0.2998 0.9079 0.8284  1 B 2.04
Se: 0.4404 0.6827 0.6705  1 B 2.08
Se: 0.4404 0.8173 0.1705  1 B 2.08
Se: 0.5596 0.1827 0.8295  1 B 2.08
Se: 0.5596 0.3173 0.3295  1 B 2.08
Se: 0.7002 0.0921 0.1716  1 B 2.04
Se: 0.7002 0.4079 0.6716  1 B 2.04
Se: 0.9515 0.1942 0.6484  2 B 2.04-2.07
Se: 0.9515 0.3058 0.1484  2 B 2.04-2.07

Cs3B3Se10: optimized geometry, GGA-PBEsol.

Values from the calculation:
Volume (A^3/atom): 28.5
Crystal system: triclinic

Cell: 7.5724 8.4145 15.1216 Å, 74.80 84.67 79.05°
With the nearest neighbours (Å) after each atom.
Atoms (fractional coordinates):
Cs: 0.0462 0.3432 0.2160  11 Se 3.61-3.88, 1 B 4.02
Cs: 0.2528 0.8371 0.1418  9 Se 3.59-3.98
Cs: 0.3312 0.8191 0.5160  10 Se 3.57-3.98
Cs: 0.6688 0.1809 0.4840  10 Se 3.57-3.98
Cs: 0.7472 0.1629 0.8582  9 Se 3.59-3.98
Cs: 0.9538 0.6568 0.7840  11 Se 3.61-3.88, 1 B 4.02
B: 0.0990 0.3049 0.5901  4 Se 2.04-2.06
B: 0.2687 0.0450 0.7639  4 Se 2.04-2.09
B: 0.3884 0.6952 0.9059  4 Se 2.04-2.07
B: 0.6116 0.3048 0.0941  4 Se 2.04-2.07
B: 0.7313 0.9550 0.2361  4 Se 2.04-2.09
B: 0.9010 0.6951 0.4099  4 Se 2.04-2.06
Se: 0.0717 0.0717 0.6704  2 B 2.06-2.09
Se: 0.1480 0.2841 0.4582  1 B 2.04
Se: 0.1483 0.5731 0.3782  1 B 2.04
Se: 0.2032 0.9136 0.8934  2 B 2.05-2.07
Se: 0.2285 0.5347 0.9818  1 B 2.04
Se: 0.2879 0.2729 0.7812  1 B 2.04
Se: 0.3142 0.3899 0.6211  1 B 2.04
Se: 0.4104 0.2634 0.0272  1 B 2.04
Se: 0.4592 0.6560 0.7779  1 B 2.05
Se: 0.4872 0.0660 0.2834  1 B 2.06
Se: 0.5128 0.9340 0.7166  1 B 2.06
Se: 0.5408 0.3440 0.2221  1 B 2.05
Se: 0.5896 0.7366 0.9728  1 B 2.04
Se: 0.6858 0.6101 0.3789  1 B 2.04
Se: 0.7121 0.7271 0.2188  1 B 2.04
Se: 0.7715 0.4653 0.0182  1 B 2.04
Se: 0.7968 0.0864 0.1066  2 B 2.05-2.07
Se: 0.8517 0.4269 0.6218  1 B 2.04
Se: 0.8520 0.7159 0.5418  1 B 2.04
Se: 0.9283 0.9283 0.3296  2 B 2.06-2.09

CsBSe2: optimized geometry, GGA-PBEsol.

Values from the calculation:
Volume (A^3/atom): 46.7
Crystal system: trigonal

Cell: 6.8907 6.8907 6.8907 Å, 51.84 51.84 51.84°
With the nearest neighbours (Å) after each atom.
Atoms (fractional coordinates):
Cs: 0.0000 0.0000 0.0000  6 Se 3.67
B: 0.5000 0.5000 0.5000  2 Se 1.81
Se: 0.3986 0.3986 0.3986  1 B 1.81
Se: 0.6014 0.6014 0.6014  1 B 1.81

CsBSe2: optimized geometry, GGA-PBEsol.

Values from the calculation:
Volume (A^3/atom): 21.6
Crystal system: trigonal

Cell: 8.3979 8.3979 8.3979 Å, 24.04 24.04 24.04°
With the nearest neighbours (Å) after each atom.
Atoms (fractional coordinates):
Cs: 0.0000 0.0000 0.0000  6 Se 3.48, 6 Cs 3.50
B: 0.5000 0.5000 0.5000  6 Se 2.37
Se: 0.2173 0.2173 0.2173  3 B 2.37
Se: 0.7827 0.7827 0.7827  3 B 2.37

Cs4B9Se9: optimized geometry, GGA-PBEsol.

Values from the calculation:
Volume (A^3/atom): 26.2
Crystal system: triclinic

Cell: 10.6828 10.7427 11.0715 Å, 91.90 103.23 110.03°
With the nearest neighbours (Å) after each atom.
Atoms (fractional coordinates):
Cs: 0.1138 0.3726 0.1324  8 Se 3.59-3.94, 3 B 3.62-3.92
Cs: 0.1399 0.0049 0.3714  8 Se 3.59-3.96, 2 B 3.68-3.81
Cs: 0.2523 0.6273 0.4738  8 Se 3.52-3.85, 2 B 3.76-3.80
Cs: 0.3280 0.3819 0.7453  7 Se 3.69-4.01, 1 B 3.89
Cs: 0.6720 0.6181 0.2547  7 Se 3.69-4.01, 1 B 3.89
Cs: 0.7477 0.3727 0.5262  8 Se 3.52-3.85, 2 B 3.76-3.80
Cs: 0.8601 0.9951 0.6286  8 Se 3.59-3.96, 2 B 3.68-3.81
Cs: 0.8862 0.6274 0.8676  8 Se 3.59-3.94, 3 B 3.62-3.92
B: 0.1422 0.8188 0.6930  3 Se 1.91-1.99
B: 0.1678 0.7637 0.1450  3 Se 1.91-1.99
B: 0.3408 0.9684 0.0191  5 B 1.76-1.78
B: 0.3752 0.8622 0.9165  5 B 1.76-1.78
B: 0.3826 0.0235 0.8791  5 B 1.77-1.79
B: 0.4246 0.2558 0.2565  3 Se 1.91-1.99
B: 0.4393 0.8702 0.0805  5 B 1.77-1.79
B: 0.4547 0.1345 0.0219  5 B 1.78-1.79
B: 0.4896 0.0386 0.1441  5 B 1.76-1.78
B: 0.5104 0.9614 0.8559  5 B 1.76-1.78
B: 0.5453 0.8655 0.9781  5 B 1.78-1.79
B: 0.5607 0.1298 0.9195  5 B 1.77-1.79
B: 0.5754 0.7442 0.7435  3 Se 1.91-1.99
B: 0.6174 0.9765 0.1209  5 B 1.77-1.79
B: 0.6248 0.1378 0.0835  5 B 1.76-1.78
B: 0.6592 0.0316 0.9809  5 B 1.76-1.78
B: 0.8322 0.2363 0.8550  3 Se 1.91-1.99
B: 0.8578 0.1812 0.3070  3 Se 1.91-1.99
Se: 0.0154 0.2629 0.4446  1 B 1.91
Se: 0.0173 0.6565 0.2059  1 B 1.91
Se: 0.1557 0.9155 0.0536  2 B 1.97-1.99
Se: 0.2218 0.7104 0.8043  2 B 1.97-2.00
Se: 0.2311 0.0162 0.7300  2 B 1.99-2.01
Se: 0.3408 0.7253 0.1711  2 B 1.99-2.00
Se: 0.4002 0.3717 0.3758  1 B 1.91
Se: 0.4088 0.2890 0.0787  2 B 1.99-2.00
Se: 0.4731 0.1010 0.3090  2 B 1.97-1.99
Se: 0.5269 0.8990 0.6910  2 B 1.97-1.99
Se: 0.5912 0.7110 0.9213  2 B 1.99-2.00
Se: 0.5998 0.6283 0.6242  1 B 1.91
Se: 0.6592 0.2747 0.8289  2 B 1.99-2.00
Se: 0.7689 0.9838 0.2700  2 B 1.99-2.01
Se: 0.7782 0.2896 0.1957  2 B 1.97-2.00
Se: 0.8443 0.0845 0.9464  2 B 1.97-1.99
Se: 0.9827 0.3435 0.7941  1 B 1.91
Se: 0.9846 0.7371 0.5554  1 B 1.91

CsSi2B: optimized geometry, GGA-PBEsol.

Values from the calculation:
Volume (A^3/atom): 22.3
Crystal system: tetragonal

Cell: 7.6923 7.6923 7.6923 Å, 141.06 141.06 56.25°
With the nearest neighbours (Å) after each atom.
Atoms (fractional coordinates):
Cs: 0.3750 0.6250 0.7500  8 Si 3.33, 4 B 3.63
Cs: 0.6250 0.3750 0.2500  8 Si 3.33, 4 B 3.63
Si: 0.0000 0.0000 0.0000  2 B 2.13
Si: 0.0000 0.0000 0.5000  2 B 2.13
Si: 0.0000 0.5000 0.0000  2 B 2.13
Si: 0.5000 0.0000 0.5000  2 B 2.13
B: 0.1250 0.8750 0.2500  4 Si 2.13
B: 0.8750 0.1250 0.7500  4 Si 2.13

Number 1: E_tot -0.3295 Ry/atom. Number 2: E_tot -0.3268 Ry/atom. Number 3: E_tot -0.3228 Ry/atom. Number 4: E_tot -0.2772 Ry/atom. Number 5: E_tot -0.3831 Ry/atom. Number 6: E_tot -0.3138 Ry/atom.